Entry 1:
The following is a PBE calculation of crystalline LaTbFe2Ge4 at its relaxed geometry, from OQMD.

a b c (Å): 4.2587 4.2681 16.6841
angles (deg): 90.00 90.00 90.00
With the nearest neighbours (Å) after each atom.
Positions (direct):
La 0.0000 0.0000 0.0000  10 Ge 3.20-3.35, 5 Fe 3.27-3.49
La 0.0000 0.5000 0.5000  10 Ge 3.20-3.35, 5 Fe 3.27-3.49
Tb 0.5000 0.0000 0.2182  10 Ge 3.13-3.34, 5 Fe 3.25-3.45
Tb 0.5000 0.5000 0.7182  10 Ge 3.13-3.34, 5 Fe 3.25-3.45
Fe 0.0000 0.0000 0.7907  5 Ge 2.26-2.39
Fe 0.0000 0.5000 0.2907  5 Ge 2.26-2.39
Fe 0.5000 0.0000 0.4248  5 Ge 2.32-2.43
Fe 0.5000 0.5000 0.9248  5 Ge 2.32-2.43
Ge 0.0000 0.0000 0.3557  4 Fe 2.39-2.42
Ge 0.0000 0.0000 0.6551  1 Fe 2.26
Ge 0.0000 0.5000 0.1551  1 Fe 2.26
Ge 0.0000 0.5000 0.8557  4 Fe 2.39-2.42
Ge 0.5000 0.0000 0.5640  1 Fe 2.32
Ge 0.5000 0.0000 0.8554  4 Fe 2.39-2.43
Ge 0.5000 0.5000 0.0640  1 Fe 2.32
Ge 0.5000 0.5000 0.3554  4 Fe 2.39-2.43

Distance to the lowest polymorph of the same formula ... 52 meV/atom
E ... -0.4471 Ry per atom
Space-group type ... Amm2 (38)


Entry 2:
The following is a PBE calculation of crystalline ZrSi2Pt at its relaxed geometry, from OQMD.

a b c (Å): 5.1917 3.1183 8.2057
angles (deg): 90.00 97.99 90.00
With the nearest neighbours (Å) after each atom.
Positions (direct):
Zr 0.1050 0.2500 0.3037  7 Si 2.76-2.98
Zr 0.8950 0.7500 0.6963  7 Si 2.76-2.98
Si 0.1850 0.7500 0.0051  3 Pt 2.43-2.62, 2 Si 2.47
Si 0.3658 0.7500 0.5702  2 Si 2.48, 2 Pt 2.49
Si 0.6342 0.2500 0.4298  2 Si 2.48, 2 Pt 2.49
Si 0.8150 0.2500 0.9949  3 Pt 2.43-2.62, 2 Si 2.47
Pt 0.4066 0.2500 0.8093  5 Si 2.43-2.62
Pt 0.5934 0.7500 0.1907  5 Si 2.43-2.62

E ... -0.5136 Ry per atom
Space-group type ... P2_1/m (11)


Entry 3:
The following is a PBE calculation of crystalline LiCuReSeS2 at its relaxed geometry, from OQMD.

a b c (Å): 6.5351 6.5351 9.4241
angles (deg): 90.00 90.00 150.98
With the nearest neighbours (Å) after each atom.
Positions (direct):
Li 0.2268 0.7732 0.7500  4 S 2.75, 2 Se 2.76, 2 Cu 2.79
Li 0.7732 0.2268 0.2500  4 S 2.75, 2 Se 2.76, 2 Cu 2.79
Cu 0.4522 0.5478 0.2500  2 S 2.20, 2 Se 2.46
Cu 0.5478 0.4522 0.7500  2 S 2.20, 2 Se 2.46
Re 0.0000 0.0000 0.0000  4 S 2.43, 2 Se 2.66
Re 0.0000 0.0000 0.5000  4 S 2.43, 2 Se 2.66
Se 0.0973 0.9027 0.2500  2 Cu 2.46, 2 Re 2.66
Se 0.9027 0.0973 0.7500  2 Cu 2.46, 2 Re 2.66
S 0.3629 0.6371 0.0492  1 Cu 2.20, 2 Re 2.43
S 0.3629 0.6371 0.4508  1 Cu 2.20, 2 Re 2.43
S 0.6371 0.3629 0.5492  1 Cu 2.20, 2 Re 2.43
S 0.6371 0.3629 0.9508  1 Cu 2.20, 2 Re 2.43

E ... -0.3877 Ry per atom
Space-group type ... Cmcm (63)


Entry 4:
The following is a PBE calculation of crystalline LaAl2Ga4Pt at its relaxed geometry, from OQMD.

a b c (Å): 4.4279 4.4279 8.0615
angles (deg): 90.00 90.00 90.00
With the nearest neighbours (Å) after each atom.
Positions (direct):
La 0.0000 0.0000 0.0000  8 Al 3.37, 8 Ga 3.46
Al 0.5000 0.5000 0.1547  1 Al 2.49, 4 Ga 2.63
Al 0.5000 0.5000 0.8453  1 Al 2.49, 4 Ga 2.63
Ga 0.0000 0.5000 0.3297  2 Pt 2.60, 2 Al 2.63, 1 Ga 2.75
Ga 0.0000 0.5000 0.6703  2 Pt 2.60, 2 Al 2.63, 1 Ga 2.75
Ga 0.5000 0.0000 0.3297  2 Pt 2.60, 2 Al 2.63, 1 Ga 2.75
Ga 0.5000 0.0000 0.6703  2 Pt 2.60, 2 Al 2.63, 1 Ga 2.75
Pt 0.0000 0.0000 0.5000  8 Ga 2.60

E ... -0.3183 Ry per atom
Space-group type ... P4/mmm (123)